Computed, not measured: Sr5Cd4 after structural relaxation at the PBE level of DFT.

Geometry as POSCAR:
```
Sr5Cd4
1.0
6.175 -2.559 0.000
6.175 2.559 0.000
-4.185 0.000 10.817
Sr Cd
5 4
direct
0.000 0.000 0.000 Sr
0.106 0.106 0.394 Sr
0.247 0.247 0.826 Sr
0.753 0.753 0.174 Sr
0.894 0.894 0.606 Sr
0.389 0.389 0.389 Cd
0.448 0.448 0.163 Cd
0.552 0.552 0.837 Cd
0.611 0.611 0.611 Cd
```

Results
- ΔE to the lowest computed polymorph (eV/f.u.) = 0.000
- E_form (eV per atom) = -0.26
- magnetic moment (μB/atom) = 0.00